No. 1
Here is crystalline NaTmIn at its relaxed geometry from the Open Quantum Materials Database. Energies are from PBE.

a = 5.1344 Å, b = 5.1344 Å, c = 5.1344 Å
α = 60.00°, β = 60.00°, γ = 60.00°
Atoms (fractional coordinates):
Na: 0.0000 0.0000 0.0000
Tm: 0.7500 0.7500 0.7500
In: 0.5000 0.5000 0.5000

Summary:
E, eV/atom: -2.44
Symmetry: F-43m

=====

No. 2
Here is crystalline CsTaMo at its relaxed geometry from the Open Quantum Materials Database. Energies are from PBE.

a = 4.7260 Å, b = 4.7260 Å, c = 4.7260 Å
α = 60.00°, β = 60.00°, γ = 60.00°
Atoms (fractional coordinates):
Cs: 0.0000 0.0000 0.0000
Ta: 0.7500 0.7500 0.7500
Mo: 0.5000 0.5000 0.5000

Summary:
E, eV/atom: -5.57
Symmetry: F-43m

=====

No. 3
Here is crystalline DyNpSc at its relaxed geometry from the Open Quantum Materials Database. Energies are from PBE.

a = 5.1397 Å, b = 5.1397 Å, c = 5.1397 Å
α = 60.00°, β = 60.00°, γ = 60.00°
Atoms (fractional coordinates):
Dy: 0.0000 0.0000 0.0000
Np: 0.5000 0.5000 0.5000
Sc: 0.2500 0.2500 0.2500

Summary:
Energy of formation, eV per formula unit: 3.22
Symmetry: F-43m

=====

No. 4
Here is crystalline GaHgSeO at its relaxed geometry from the Open Quantum Materials Database. Energies are from PBE.

a = 5.7989 Å, b = 5.5440 Å, c = 11.7278 Å
α = 90.00°, β = 103.93°, γ = 90.00°
Atoms (fractional coordinates):
Ga: 0.0348 0.0000 0.4143
Ga: 0.4552 0.8399 0.5811
Ga: 0.5448 0.3399 0.4189
Ga: 0.9652 0.5000 0.5857
Hg: 0.0558 0.2612 0.1781
Hg: 0.3270 0.0001 0.0065
Hg: 0.6730 0.5001 0.9935
Hg: 0.9442 0.7612 0.8219
Se: 0.1923 0.4138 0.7767
Se: 0.3976 0.5492 0.2416
Se: 0.6024 0.0492 0.7584
Se: 0.8077 0.9138 0.2233
O: 0.1270 0.7481 0.5266
O: 0.3662 0.0855 0.4587
O: 0.6338 0.5855 0.5413
O: 0.8730 0.2481 0.4734

Summary:
E, eV/atom: -3.81
Symmetry: P2_1

=====

No. 5
Here is crystalline Mo2Se at its relaxed geometry from the Open Quantum Materials Database. Energies are from PBE.

a = 8.5032 Å, b = 8.5032 Å, c = 8.5032 Å
α = 60.00°, β = 60.00°, γ = 60.00°
Atoms (fractional coordinates):
Mo: 0.0000 0.0000 0.0000
Mo: 0.0000 0.0000 0.5000
Mo: 0.0000 0.5000 0.0000
Mo: 0.5000 0.0000 0.0000
Se: 0.1250 0.1250 0.1250
Se: 0.8750 0.8750 0.8750

Summary:
E, eV/atom: -5.98
Symmetry: Fd-3m

=====

No. 6
Here is crystalline BeCuGeIr at its relaxed geometry from the Open Quantum Materials Database. Energies are from PBE.

a = 4.1466 Å, b = 4.1466 Å, c = 4.1466 Å
α = 60.00°, β = 60.00°, γ = 60.00°
Atoms (fractional coordinates):
Be: 0.0000 0.0000 0.0000
Cu: 0.7500 0.7500 0.7500
Ge: 0.5000 0.5000 0.5000
Ir: 0.2500 0.2500 0.2500

Summary:
E, eV/atom: -5.31
Symmetry: F-43m

=====

No. 7
Here is crystalline HfPaNO at its relaxed geometry from the Open Quantum Materials Database. Energies are from PBE.

a = 3.7842 Å, b = 3.7842 Å, c = 8.4413 Å
α = 90.00°, β = 90.00°, γ = 90.00°
Atoms (fractional coordinates):
Hf: 0.2500 0.7500 0.0000
Hf: 0.7500 0.2500 0.0000
Pa: 0.2500 0.2500 0.3354
Pa: 0.7500 0.7500 0.6646
N: 0.2500 0.2500 0.8152
N: 0.7500 0.7500 0.1848
O: 0.2500 0.7500 0.5000
O: 0.7500 0.2500 0.5000

Summary:
E, eV/atom: -9.19
Symmetry: P4/nmm

=====

No. 8
Here is crystalline Y4Lu2Ga3C3 at its relaxed geometry from the Open Quantum Materials Database. Energies are from PBE.

a = 6.1298 Å, b = 6.1298 Å, c = 16.0066 Å
α = 100.97°, β = 100.97°, γ = 59.96°
Atoms (fractional coordinates):
Y: 0.0284 0.1952 0.0857
Y: 0.1380 0.3052 0.4143
Y: 0.1952 0.0284 0.5857
Y: 0.3052 0.1380 0.9143
Y: 0.6948 0.8620 0.0857
Y: 0.8048 0.9716 0.4143
Y: 0.8620 0.6948 0.5857
Y: 0.9716 0.8048 0.9143
Lu: 0.3639 0.5274 0.0862
Lu: 0.4726 0.6361 0.4138
Lu: 0.5274 0.3639 0.5862
Lu: 0.6361 0.4726 0.9138
Ga: 0.0727 0.9273 0.7500
Ga: 0.1094 0.4170 0.7501
Ga: 0.4170 0.1094 0.2501
Ga: 0.5830 0.8906 0.7499
Ga: 0.8906 0.5830 0.2499
Ga: 0.9273 0.0727 0.2500
C: 0.0000 0.5000 0.0000
C: 0.1814 0.6592 0.4996
C: 0.3408 0.8186 0.0004
C: 0.5000 0.0000 0.5000
C: 0.6592 0.1814 0.9996
C: 0.8186 0.3408 0.5004

Summary:
E, eV/atom: -6.32
Symmetry: C2/c